1.
Here is Cd2RhBr after structural relaxation from Alexandria. Energies are from PBE.

* ΔE_f (raw): 88 meV per atom
* spin magnetization: 0.000 μB/f.u.
* distance to the lowest polymorph of the same formula: 101 kJ/mol of formula units

Cell lengths 6.932, 6.932, 6.932 Å; angles 154.41, 142.82, 45.69 degrees
Fractional positions:
Cd 0.190 0.190 0.000
Cd 0.810 0.810 0.000
Rh 0.000 0.500 0.500
Br 0.500 0.000 0.500

***

2.
Here is CdRhBr2 after structural relaxation from Alexandria. Energies are from PBE.

* ΔE_f (raw): 345 meV per atom
* spin magnetization: 1.269 μB/f.u.
* distance to the lowest polymorph of the same formula: 223 kJ/mol of formula units

Cell lengths 4.916, 4.916, 3.553 Å; angles 90.00, 90.00, 90.23 degrees
Fractional positions:
Cd 0.000 0.000 0.000
Rh 0.500 0.500 0.000
Br 0.000 0.500 0.500
Br 0.500 0.000 0.500